(1)
## ZnIn2SiBi (PBE)

Data for a relaxed ZnIn2SiBi crystal.

Geometry as POSCAR:
```
ZnIn2SiBi
1.0
-2.507 1.389 4.408
3.527 -3.047 2.966
3.177 4.160 0.496
Zn Si Bi In
1 1 1 2
Direct
0.500 0.500 0.500 Zn
0.000 0.000 0.000 Si
0.000 0.500 0.000 Bi
0.000 0.000 0.500 In
0.500 0.000 0.000 In
```

Summary:
E_form (uncorrected), eV per atom: 0.498


(2)
## Sm4InBi2 (PBE)

Data for a relaxed Sm4InBi2 crystal.

Geometry as POSCAR:
```
Sm4InBi2
1.0
6.174 0.000 -0.113
0.000 6.763 0.000
-2.378 0.000 10.535
Sm In Bi
8 2 4
Direct
0.537 0.513 0.258 Sm
0.031 0.750 0.852 Sm
0.969 0.250 0.148 Sm
0.537 0.987 0.258 Sm
0.853 0.250 0.542 Sm
0.463 0.013 0.742 Sm
0.463 0.487 0.742 Sm
0.147 0.750 0.458 Sm
0.057 0.750 0.172 In
0.943 0.250 0.828 In
0.599 0.750 0.999 Bi
0.401 0.250 0.001 Bi
0.297 0.250 0.452 Bi
0.703 0.750 0.548 Bi
```

Summary:
ΔE_f, meV per atom: -483


(3)
## Sm4InBi (PBE)

Data for a relaxed Sm4InBi crystal.

Geometry as POSCAR:
```
Sm4InBi
1.0
5.808 0.000 0.000
0.000 6.506 0.000
-2.904 0.000 10.884
Sm In Bi
8 2 2
Direct
0.873 0.322 0.746 Sm
0.127 0.822 0.254 Sm
0.436 0.822 0.871 Sm
0.564 0.322 0.129 Sm
0.710 0.573 0.420 Sm
0.290 0.073 0.580 Sm
0.710 0.071 0.420 Sm
0.290 0.571 0.580 Sm
0.577 0.823 0.153 In
0.423 0.323 0.847 In
0.849 0.822 0.698 Bi
0.151 0.322 0.302 Bi
```

Summary:
ΔE_f, meV per atom: -279


(4)
## Sm12In5Bi2 (PBE)

Data for a relaxed Sm12In5Bi2 crystal.

Geometry as POSCAR:
```
Sm12In5Bi2
1.0
-1.040 -9.598 5.252
0.700 0.760 -9.972
6.251 0.219 1.639
Sm In Bi
12 5 2
Direct
0.863 0.727 0.027 Sm
0.099 0.612 0.831 Sm
0.513 0.612 0.831 Sm
0.135 0.789 0.415 Sm
0.653 0.789 0.415 Sm
0.463 0.926 0.727 Sm
0.537 0.074 0.273 Sm
0.865 0.211 0.585 Sm
0.347 0.211 0.585 Sm
0.901 0.388 0.169 Sm
0.487 0.388 0.169 Sm
0.137 0.273 0.973 Sm
0.214 0.428 0.497 In
0.335 0.670 0.204 In
0.000 0.000 0.500 In
0.665 0.330 0.796 In
0.786 0.572 0.503 In
0.774 0.000 0.000 Bi
0.226 0.000 0.000 Bi
```

Summary:
ΔE_f, meV per atom: -317


| no. | spin magnetization (μB per formula unit) | ρ (Mg/m³) |
| --- | --- | --- |
| 1 | 0.00 | 5.8 |
| 2 | 0.00 | 8.6 |
| 3 | 0.00 | 7.5 |
| 4 | 0.00 | 8.0 |